Entry one
A plane-wave DFT calculation with PBEsol was carried out for a relaxed AlPt3S crystal.

Unit cell a=4.510 b=4.510 c=4.510 alpha=90.00 beta=90.00 gamma=90.00
Space group Pm-3m (No. 221)
Symmetry-distinct sites (fractional):
Al (0.000, 0.000, 0.000) x1
Pt (0.000, 0.000, 0.500) x3
S (0.500, 0.500, 0.500) x1

Properties
Crystal system: cubic
Spin magnetization, μB/f.u.: 0.0
Fermi-level density of states, states/eV per atom: 0.80


Entry two
A plane-wave DFT calculation with PBEsol was carried out for a relaxed AlPt3S crystal.

Unit cell a=4.464 b=4.464 c=4.464 alpha=90.00 beta=90.00 gamma=90.00
Space group Pm-3m (No. 221)
Symmetry-distinct sites (fractional):
Al (0.000, 0.000, 0.000) x1
Pt (0.000, 0.500, 0.500) x3
S (0.500, 0.500, 0.500) x1

Properties
Crystal system: cubic
Spin magnetization, μB/f.u.: 0.0
Fermi-level density of states, states/eV per atom: 0.84


How do the structures above rank in stability at the extremes? entry two comes first and entry one comes last.